Entry 1:
Compound: Sr2TlFe
Source: the Alexandria database
Functional: GGA-PBE
Structure: optimized geometry

It has space group R-3m (No. 166, hexagonal axes), with a = 4.0032 Å, b = 4.0032 Å, c = 28.9803 Å, α = 90.00°, β = 90.00° and γ = 120.00°. The inequivalent atoms are Sr at (0.0000, 0.0000, 0.2412), Tl at (0.0000, 0.0000, 0.0000) and Fe at (0.0000, 0.0000, 0.5000).

The formation enthalpy at 0 K is 401 meV per atom. The value obtained for the spin magnetization is 0.63 μB/atom.

---

Entry 2:
Compound: PmSmZnRh
Source: the Alexandria database
Functional: GGA-PBE
Structure: optimized geometry

It has space group F-43m (No. 216), with a = 7.153 Å, b = 7.153 Å, c = 7.153 Å, α = 90.00°, β = 90.00° and γ = 90.00°. The inequivalent atoms are Pm at (0.000, 0.000, 0.000), Sm at (0.000, 0.000, 0.500), Zn at (0.250, 0.250, 0.750) and Rh at (0.250, 0.250, 0.250).

Its energy relative to the lowest polymorph listed for this composition is 0.0304 eV/atom. The formation enthalpy at 0 K is -510 meV per atom. The value obtained for the spin magnetization is 0.00 μB/atom.

---

Entry 3:
Compound: PaGaAuO6
Source: the Alexandria database
Functional: GGA-PBE
Structure: optimized geometry

It has space group P4_2nm (No. 102), with a = 5.001 Å, b = 5.001 Å, c = 9.551 Å, α = 90.00°, β = 90.00° and γ = 90.00°. The inequivalent atoms are Pa at (0.000, 0.000, 0.000), Ga at (0.000, 0.000, 0.665), Au at (0.000, 0.000, 0.335), O at (0.179, 0.179, 0.504), O at (0.181, 0.181, 0.820) and O at (0.198, 0.198, 0.170).

The formation energy without anion corrections comes out at -1737 meV per atom. The value obtained for the spin magnetization is 0.00 μB/atom.

---

Entry 4:
Compound: AlPWCl2
Source: the Alexandria database
Functional: GGA-PBE
Structure: optimized geometry

It has space group P4/mmm (No. 123), with a = 4.927 Å, b = 4.927 Å, c = 4.741 Å, α = 90.00°, β = 90.00° and γ = 90.00°. The inequivalent atoms are Al at (0.000, 0.000, 0.000), P at (0.500, 0.500, 0.000), W at (0.500, 0.500, 0.500) and Cl at (0.000, 0.500, 0.500).

Its energy relative to the lowest polymorph listed for this composition is 0.0000 eV/atom. The formation energy without anion corrections comes out at 261 meV per atom. The value obtained for the spin magnetization is 0.23 μB/atom.